# 1
RhO2 | PBEsol | relaxed

Values from the calculation:
* formation energy (no corrections): -0.8689 eV/atom

a = 3.079 Å, b = 4.463 Å, c = 4.463 Å
α = 90.00°, β = 90.00°, γ = 90.00°
Sites, in units of the cell vectors:
1 Rh 0.500 0.500 0.500
2 O 0.000 0.307 0.307
3 O 0.000 0.693 0.693
4 O 0.500 0.807 0.193
5 O 0.500 0.193 0.807
6 Rh 0.000 0.000 0.000

---

# 2
Ba2NbNiAg | PBEsol | relaxed

Values from the calculation:
* energy of formation: 107 kJ/mol of atoms

a = 4.663 Å, b = 6.088 Å, c = 6.088 Å
α = 90.00°, β = 90.00°, γ = 90.00°
Each line ends with the local moment (μB).
Sites, in units of the cell vectors:
1 Ag 0.000 0.000 0.000  0.02
2 Ni 0.500 0.000 0.000  0.02
3 Nb 0.500 0.500 0.500  2.88
4 Ba 0.000 0.500 0.000  0.10
5 Ba 0.000 0.000 0.500  0.10

---

# 3
Cs2Pd3Se4 | PBEsol | relaxed

Values from the calculation:
* formation energy (no corrections): -0.7453 eV/atom

a = 6.408 Å, b = 6.408 Å, c = 7.760 Å
α = 102.19°, β = 102.19°, γ = 119.25°
Sites, in units of the cell vectors:
1 Cs 0.653 0.653 0.305
2 Se 0.282 0.946 0.228
3 Pd 0.500 0.000 0.000
4 Pd 0.000 0.500 0.000
5 Se 0.054 0.718 0.772
6 Se 0.718 0.054 0.772
7 Cs 0.347 0.347 0.695
8 Se 0.946 0.282 0.228
9 Pd 0.000 0.000 0.000

---

# 4
CdIn | PBEsol | relaxed

Values from the calculation:
* energy of formation: 1 kJ/mol of atoms

a = 3.179 Å, b = 3.179 Å, c = 9.166 Å
α = 90.00°, β = 90.00°, γ = 90.00°
Sites, in units of the cell vectors:
1 Cd 0.500 0.000 0.113
2 In 0.500 0.000 0.637
3 In 0.000 0.500 0.363
4 Cd 0.000 0.500 0.887

---

# 5
Cs2HoCl5 | PBEsol | relaxed

Values from the calculation:
* formation energy (no corrections): -2.2004 eV/atom

a = 7.345 Å, b = 9.409 Å, c = 15.064 Å
α = 90.00°, β = 90.00°, γ = 90.00°
Sites, in units of the cell vectors:
1 Ho 0.750 0.819 0.934
2 Cs 0.250 0.167 0.416
3 Cs 0.750 0.028 0.210
4 Ho 0.750 0.319 0.566
5 Cs 0.750 0.833 0.584
6 Cl 0.750 0.709 0.093
7 Cs 0.750 0.333 0.916
8 Cl 0.008 0.662 0.880
9 Cl 0.992 0.338 0.120
10 Ho 0.250 0.681 0.434
11 Cl 0.750 0.983 0.798
12 Cl 0.492 0.662 0.880
13 Cs 0.750 0.528 0.290
14 Cl 0.992 0.838 0.380
15 Cs 0.250 0.472 0.710
16 Cl 0.250 0.791 0.593
17 Cl 0.000 0.000 0.000
18 Cs 0.250 0.667 0.084
19 Cl 0.000 0.500 0.500
20 Cl 0.750 0.483 0.702
21 Cl 0.492 0.162 0.620
22 Cl 0.500 0.000 0.000
23 Cl 0.250 0.017 0.202
24 Cl 0.500 0.500 0.500
25 Cl 0.508 0.838 0.380
26 Cl 0.508 0.338 0.120
27 Cl 0.250 0.517 0.298
28 Ho 0.250 0.181 0.066
29 Cl 0.750 0.209 0.407
30 Cl 0.008 0.162 0.620
31 Cl 0.250 0.291 0.907
32 Cs 0.250 0.972 0.790

---

# 6
BaCdSe2 | PBEsol | relaxed

Values from the calculation:
* formation energy (no corrections): -1.0663 eV/atom

a = 4.302 Å, b = 4.302 Å, c = 6.655 Å
α = 90.00°, β = 90.00°, γ = 90.00°
Sites, in units of the cell vectors:
1 Cd 0.500 0.500 0.918
2 Se 0.500 0.500 0.310
3 Ba 0.000 0.000 0.396
4 Se 0.000 0.000 0.876

---

no.,V (Å³/atom),electronic total energy (eV per atom)
1,10.2,-7.0812
2,34.6,-3.8058
3,28.1,-4.6522
4,23.2,-2.0751
5,32.5,-4.3098
6,30.8,-3.8279